1) The following is a DFT calculation (GGA-PBE) of a relaxed Tm5Bi2 crystal.

Structure (CIF):
```
data_Tm5Bi2
_chemical_formula_sum 'Tm20 Bi8'
_symmetry_space_group_name_H-M 'C m c m'
_symmetry_Int_Tables_number 63
_symmetry_space_group_name_Hall '-C 2c 2'
_cell_length_a 4.5649
_cell_length_b 39.1708
_cell_length_c 4.5427
_cell_angle_alpha 90.00
_cell_angle_beta 90.00
_cell_angle_gamma 90.00
loop_
_atom_site_label
_atom_site_type_symbol
_atom_site_fract_x
_atom_site_fract_y
_atom_site_fract_z
Tm1 Tm 0.0000 0.0342 0.2500
Tm2 Tm 0.0000 0.1083 0.7500
Tm3 Tm 0.0000 0.2501 0.2500
Tm4 Tm 0.0000 0.3227 0.7500
Tm5 Tm 0.0000 0.4665 0.2500
Bi1 Bi 0.0000 0.1880 0.7500
Bi2 Bi 0.0000 0.4036 0.7500
```

DOS at the Fermi energy: 25.3 states/eV/cell
calculated volume: 812.3 Å³/cell
magnetization: 0.00 Bohr magnetons per cell

=====

2) The following is a DFT calculation (GGA-PBE) of a relaxed Tm5Bi2 crystal.

Structure (CIF):
```
data_Tm5Bi2
_chemical_formula_sum 'Tm20 Bi8'
_symmetry_space_group_name_H-M 'C 1 2/c 1'
_symmetry_Int_Tables_number 15
_symmetry_space_group_name_Hall '-C 2yc'
_cell_length_a 16.2120
_cell_length_b 6.4060
_cell_length_c 8.0958
_cell_angle_alpha 90.00
_cell_angle_beta 96.00
_cell_angle_gamma 90.00
loop_
_atom_site_label
_atom_site_type_symbol
_atom_site_fract_x
_atom_site_fract_y
_atom_site_fract_z
Tm1 Tm 0.0000 0.1837 0.2500
Tm2 Tm 0.1079 0.3784 0.9434
Tm3 Tm 0.2233 0.1301 0.3035
Bi1 Bi 0.0991 0.1618 0.5908
```

DOS at the Fermi energy: 29.2 states/eV/cell
calculated volume: 836.2 Å³/cell
magnetization: 0.00 Bohr magnetons per cell

=====

Relative to the most stable structure, the computed energies are 1) 0; 2) 79, all in meV per atom.

=====

1) The following is a DFT calculation (GGA-PBE) of a relaxed TmUBi2 crystal.

Structure (CIF):
```
data_TmUBi2
_chemical_formula_sum 'Tm3 U3 Bi6'
_symmetry_space_group_name_H-M 'R -3 m'
_symmetry_Int_Tables_number 166
_symmetry_space_group_name_Hall '-R 3 2"'
_cell_length_a 4.4089
_cell_length_b 4.4089
_cell_length_c 22.3714
_cell_angle_alpha 90.00
_cell_angle_beta 90.00
_cell_angle_gamma 120.00
loop_
_atom_site_label
_atom_site_type_symbol
_atom_site_fract_x
_atom_site_fract_y
_atom_site_fract_z
Tm1 Tm 0.0000 0.0000 0.0000
U1 U 0.0000 0.0000 0.5000
Bi1 Bi 0.0000 0.0000 0.2523
```

DOS at the Fermi energy: 10.2 states/eV/cell
calculated volume: 376.6 Å³/cell
magnetization: 8.37 Bohr magnetons per cell

=====

2) The following is a DFT calculation (GGA-PBE) of a relaxed TmUBi2 crystal.

Structure (CIF):
```
data_TmUBi2
_chemical_formula_sum 'Tm1 U1 Bi2'
_symmetry_space_group_name_H-M 'P 4/m m m'
_symmetry_Int_Tables_number 123
_symmetry_space_group_name_Hall '-P 4 2'
_cell_length_a 5.3785
_cell_length_b 5.3785
_cell_length_c 3.8994
_cell_angle_alpha 90.00
_cell_angle_beta 90.00
_cell_angle_gamma 90.00
loop_
_atom_site_label
_atom_site_type_symbol
_atom_site_fract_x
_atom_site_fract_y
_atom_site_fract_z
Tm1 Tm 0.0000 0.0000 0.0000
U1 U 0.5000 0.5000 0.0000
Bi1 Bi 0.0000 0.5000 0.5000
```

DOS at the Fermi energy: 5.7 states/eV/cell
calculated volume: 112.8 Å³/cell
magnetization: 3.09 Bohr magnetons per cell

=====

Relative to the most stable structure, the computed energies are 1) 0; 2) 133, all in meV per atom.

=====

1) The following is a DFT calculation (GGA-PBE) of a relaxed Y3TmBi3 crystal.

Structure (CIF):
```
data_Y3TmBi3
_chemical_formula_sum 'Y12 Tm4 Bi12'
_symmetry_space_group_name_H-M 'P 21 3'
_symmetry_Int_Tables_number 198
_symmetry_space_group_name_Hall 'P 2ac 2ab 3'
_cell_length_a 9.3780
_cell_length_b 9.3780
_cell_length_c 9.3780
_cell_angle_alpha 90.00
_cell_angle_beta 90.00
_cell_angle_gamma 90.00
loop_
_atom_site_label
_atom_site_type_symbol
_atom_site_fract_x
_atom_site_fract_y
_atom_site_fract_z
Y1 Y 0.0715 0.4285 0.5715
Y2 Y 0.1758 0.8242 0.3242
Y3 Y 0.1769 0.1769 0.1769
Tm1 Tm 0.0744 0.5744 0.9256
Bi1 Bi 0.0011 0.2528 0.8740
```

DOS at the Fermi energy: 33.8 states/eV/cell
calculated volume: 824.8 Å³/cell
magnetization: 0.02 Bohr magnetons per cell

=====

2) The following is a DFT calculation (GGA-PBE) of a relaxed Y3TmBi3 crystal.

Structure (CIF):
```
data_Y3TmBi3
_chemical_formula_sum 'Y18 Tm6 Bi18'
_symmetry_space_group_name_H-M 'R -3'
_symmetry_Int_Tables_number 148
_symmetry_space_group_name_Hall '-R 3'
_cell_length_a 9.0657
_cell_length_b 9.0657
_cell_length_c 18.8841
_cell_angle_alpha 90.00
_cell_angle_beta 90.00
_cell_angle_gamma 120.00
loop_
_atom_site_label
_atom_site_type_symbol
_atom_site_fract_x
_atom_site_fract_y
_atom_site_fract_z
Y1 Y 0.0010 0.2555 0.0820
Tm1 Tm 0.0000 0.0000 0.3332
Bi1 Bi 0.0017 0.3935 0.9160
```

DOS at the Fermi energy: 34.9 states/eV/cell
calculated volume: 1344.1 Å³/cell
magnetization: 0.00 Bohr magnetons per cell

=====

Relative to the most stable structure, the computed energies are 1) 0; 2) 68, all in meV per atom.

=====

1) The following is a DFT calculation (GGA-PBE) of a relaxed YTm3Bi3 crystal.

Structure (CIF):
```
data_YTm3Bi3
_chemical_formula_sum 'Y6 Tm18 Bi18'
_symmetry_space_group_name_H-M 'R -3'
_symmetry_Int_Tables_number 148
_symmetry_space_group_name_Hall '-R 3'
_cell_length_a 9.0164
_cell_length_b 9.0164
_cell_length_c 18.7343
_cell_angle_alpha 90.00
_cell_angle_beta 90.00
_cell_angle_gamma 120.00
loop_
_atom_site_label
_atom_site_type_symbol
_atom_site_fract_x
_atom_site_fract_y
_atom_site_fract_z
Y1 Y 0.0000 0.0000 0.1659
Tm1 Tm 0.9996 0.2515 0.4198
Bi1 Bi 0.0019 0.6089 0.4136
```

DOS at the Fermi energy: 34.9 states/eV/cell
calculated volume: 1319.0 Å³/cell
magnetization: 0.00 Bohr magnetons per cell

=====

2) The following is a DFT calculation (GGA-PBE) of a relaxed YTm3Bi3 crystal.

Structure (CIF):
```
data_YTm3Bi3
_chemical_formula_sum 'Y4 Tm12 Bi12'
_symmetry_space_group_name_H-M 'P 21 3'
_symmetry_Int_Tables_number 198
_symmetry_space_group_name_Hall 'P 2ac 2ab 3'
_cell_length_a 9.3188
_cell_length_b 9.3188
_cell_length_c 9.3188
_cell_angle_alpha 90.00
_cell_angle_beta 90.00
_cell_angle_gamma 90.00
loop_
_atom_site_label
_atom_site_type_symbol
_atom_site_fract_x
_atom_site_fract_y
_atom_site_fract_z
Y1 Y 0.0725 0.4275 0.5725
Tm1 Tm 0.0765 0.5765 0.9235
Tm2 Tm 0.1757 0.8243 0.3243
Tm3 Tm 0.1771 0.1771 0.1771
Bi1 Bi 0.0013 0.2533 0.8762
```

DOS at the Fermi energy: 32.4 states/eV/cell
calculated volume: 809.3 Å³/cell
magnetization: 0.00 Bohr magnetons per cell

=====

Relative to the most stable structure, the computed energies are 1) 62; 2) 0, all in meV per atom.

=====

1) The following is a DFT calculation (GGA-PBE) of a relaxed YTmBi2 crystal.

Structure (CIF):
```
data_YTmBi2
_chemical_formula_sum 'Y2 Tm2 Bi4'
_symmetry_space_group_name_H-M 'P m m n'
_symmetry_Int_Tables_number 59
_cell_length_a 4.4574
_cell_length_b 6.3031
_cell_length_c 8.9171
_cell_angle_alpha 90.00
_cell_angle_beta 90.00
_cell_angle_gamma 90.00
loop_
_symmetry_equiv_pos_as_xyz
'x,y,z'
'-x,-y,-z'
'-x+1/2,-y+1/2,z'
'x+1/2,y+1/2,-z'
'x+1/2,-y,-z'
'-x+1/2,y,z'
'-x,y+1/2,-z'
'x,-y+1/2,z'
loop_
_atom_site_label
_atom_site_type_symbol
_atom_site_fract_x
_atom_site_fract_y
_atom_site_fract_z
Y1 Y 0.2500 0.2500 0.1252
Tm1 Tm 0.2500 0.2500 0.6250
Bi1 Bi 0.2500 0.7500 0.1277
Bi2 Bi 0.2500 0.7500 0.6222
```

DOS at the Fermi energy: 1.2 states/eV/cell
calculated volume: 250.5 Å³/cell
magnetization: 0.00 Bohr magnetons per cell

=====

2) The following is a DFT calculation (GGA-PBE) of a relaxed YTmBi2 crystal.

Structure (CIF):
```
data_YTmBi2
_chemical_formula_sum 'Y3 Tm3 Bi6'
_symmetry_space_group_name_H-M 'R 3 m'
_symmetry_Int_Tables_number 160
_symmetry_space_group_name_Hall 'R 3 -2"'
_cell_length_a 4.4264
_cell_length_b 4.4264
_cell_length_c 22.6786
_cell_angle_alpha 90.00
_cell_angle_beta 90.00
_cell_angle_gamma 120.00
loop_
_atom_site_label
_atom_site_type_symbol
_atom_site_fract_x
_atom_site_fract_y
_atom_site_fract_z
Y1 Y 0.0000 0.0000 0.0000
Tm1 Tm 0.0000 0.0000 0.1702
Bi1 Bi 0.0000 0.0000 0.4182
Bi2 Bi 0.0000 0.0000 0.5857
```

DOS at the Fermi energy: 1.6 states/eV/cell
calculated volume: 384.8 Å³/cell
magnetization: 0.00 Bohr magnetons per cell

=====

Relative to the most stable structure, the computed energies are 1) 0; 2) 105, all in meV per atom.

=====

1) The following is a DFT calculation (GGA-PBE) of a relaxed Y3TmBi2 crystal.

Structure (CIF):
```
data_Y3TmBi2
_chemical_formula_sum 'Y3 Tm1 Bi2'
_symmetry_space_group_name_H-M 'P -4 m 2'
_symmetry_Int_Tables_number 115
_symmetry_space_group_name_Hall 'P -4 -2'
_cell_length_a 4.5493
_cell_length_b 4.5493
_cell_length_c 8.6023
_cell_angle_alpha 90.00
_cell_angle_beta 90.00
_cell_angle_gamma 90.00
loop_
_atom_site_label
_atom_site_type_symbol
_atom_site_fract_x
_atom_site_fract_y
_atom_site_fract_z
Y1 Y 0.0000 0.0000 0.0000
Y2 Y 0.0000 0.5000 0.6535
Tm1 Tm 0.5000 0.5000 0.0000
Bi1 Bi 0.0000 0.5000 0.2823
```

DOS at the Fermi energy: 5.0 states/eV/cell
calculated volume: 178.0 Å³/cell
magnetization: 0.00 Bohr magnetons per cell

=====

2) The following is a DFT calculation (GGA-PBE) of a relaxed Y3TmBi2 crystal.

Structure (CIF):
```
data_Y3TmBi2
_chemical_formula_sum 'Y12 Tm4 Bi8'
_symmetry_space_group_name_H-M 'C 1 2/m 1'
_symmetry_Int_Tables_number 12
_symmetry_space_group_name_Hall '-C 2y'
_cell_length_a 17.0929
_cell_length_b 4.3577
_cell_length_c 12.0618
_cell_angle_alpha 90.00
_cell_angle_beta 117.50
_cell_angle_gamma 90.00
loop_
_atom_site_label
_atom_site_type_symbol
_atom_site_fract_x
_atom_site_fract_y
_atom_site_fract_z
Y1 Y 0.0564 0.0000 0.2223
Y2 Y 0.1145 0.5000 0.0203
Y3 Y 0.2413 0.0000 0.6463
Tm1 Tm 0.0801 0.5000 0.6739
Bi1 Bi 0.1202 0.5000 0.4494
Bi2 Bi 0.1635 0.0000 0.8631
```

DOS at the Fermi energy: 24.6 states/eV/cell
calculated volume: 796.9 Å³/cell
magnetization: 0.00 Bohr magnetons per cell

=====

Relative to the most stable structure, the computed energies are 1) 0; 2) 233, all in meV per atom.

=====

1) The following is a DFT calculation (GGA-PBE) of a relaxed Tm2ZrBi crystal.

Structure (CIF):
```
data_Tm2ZrBi
_chemical_formula_sum 'Tm2 Zr1 Bi1'
_symmetry_space_group_name_H-M 'P 4/m m m'
_symmetry_Int_Tables_number 123
_symmetry_space_group_name_Hall '-P 4 2'
_cell_length_a 3.9175
_cell_length_b 3.9175
_cell_length_c 7.0655
_cell_angle_alpha 90.00
_cell_angle_beta 90.00
_cell_angle_gamma 90.00
loop_
_atom_site_label
_atom_site_type_symbol
_atom_site_fract_x
_atom_site_fract_y
_atom_site_fract_z
Tm1 Tm 0.0000 0.0000 0.2465
Zr1 Zr 0.5000 0.5000 0.5000
Bi1 Bi 0.5000 0.5000 0.0000
```

DOS at the Fermi energy: 5.6 states/eV/cell
calculated volume: 108.4 Å³/cell
magnetization: 0.02 Bohr magnetons per cell

=====

2) The following is a DFT calculation (GGA-PBE) of a relaxed Tm2ZrBi crystal.

Structure (CIF):
```
data_Tm2ZrBi
_chemical_formula_sum 'Tm6 Zr3 Bi3'
_symmetry_space_group_name_H-M 'R -3 m'
_symmetry_Int_Tables_number 166
_symmetry_space_group_name_Hall '-R 3 2"'
_cell_length_a 3.5136
_cell_length_b 3.5136
_cell_length_c 31.1375
_cell_angle_alpha 90.00
_cell_angle_beta 90.00
_cell_angle_gamma 120.00
loop_
_atom_site_label
_atom_site_type_symbol
_atom_site_fract_x
_atom_site_fract_y
_atom_site_fract_z
Tm1 Tm 0.0000 0.0000 0.2490
Zr1 Zr 0.0000 0.0000 0.5000
Bi1 Bi 0.0000 0.0000 0.0000
```

DOS at the Fermi energy: 14.0 states/eV/cell
calculated volume: 332.9 Å³/cell
magnetization: 0.00 Bohr magnetons per cell

=====

3) The following is a DFT calculation (GGA-PBE) of a relaxed Tm2ZrBi crystal.

Structure (CIF):
```
data_Tm2ZrBi
_chemical_formula_sum 'Tm2 Zr1 Bi1'
_symmetry_space_group_name_H-M 'P 4/m m m'
_symmetry_Int_Tables_number 123
_symmetry_space_group_name_Hall '-P 4 2'
_cell_length_a 4.7868
_cell_length_b 4.7868
_cell_length_c 4.5533
_cell_angle_alpha 90.00
_cell_angle_beta 90.00
_cell_angle_gamma 90.00
loop_
_atom_site_label
_atom_site_type_symbol
_atom_site_fract_x
_atom_site_fract_y
_atom_site_fract_z
Tm1 Tm 0.0000 0.5000 0.0000
Zr1 Zr 0.0000 0.0000 0.5000
Bi1 Bi 0.5000 0.5000 0.5000
```

DOS at the Fermi energy: 5.5 states/eV/cell
calculated volume: 104.3 Å³/cell
magnetization: 0.00 Bohr magnetons per cell

=====

Relative to the most stable structure, the computed energies are 1) 0; 2) 112; 3) 47, all in meV per atom.

=====

1) The following is a DFT calculation (GGA-PBE) of a relaxed TmZr2Bi crystal.

Structure (CIF):
```
data_TmZr2Bi
_chemical_formula_sum 'Tm4 Zr8 Bi4'
_symmetry_space_group_name_H-M 'F m -3 m'
_symmetry_Int_Tables_number 225
_symmetry_space_group_name_Hall '-F 4 2 3'
_cell_length_a 7.3131
_cell_length_b 7.3131
_cell_length_c 7.3131
_cell_angle_alpha 90.00
_cell_angle_beta 90.00
_cell_angle_gamma 90.00
loop_
_atom_site_label
_atom_site_type_symbol
_atom_site_fract_x
_atom_site_fract_y
_atom_site_fract_z
Tm1 Tm 0.0000 0.0000 0.0000
Zr1 Zr 0.2500 0.2500 0.2500
Bi1 Bi 0.0000 0.0000 0.5000
```

DOS at the Fermi energy: 20.9 states/eV/cell
calculated volume: 391.1 Å³/cell
magnetization: 6.43 Bohr magnetons per cell

=====

2) The following is a DFT calculation (GGA-PBE) of a relaxed TmZr2Bi crystal.

Structure (CIF):
```
data_TmZr2Bi
_chemical_formula_sum 'Tm1 Zr2 Bi1'
_symmetry_space_group_name_H-M 'P 4/m m m'
_symmetry_Int_Tables_number 123
_symmetry_space_group_name_Hall '-P 4 2'
_cell_length_a 4.4541
_cell_length_b 4.4541
_cell_length_c 4.9536
_cell_angle_alpha 90.00
_cell_angle_beta 90.00
_cell_angle_gamma 90.00
loop_
_atom_site_label
_atom_site_type_symbol
_atom_site_fract_x
_atom_site_fract_y
_atom_site_fract_z
Tm1 Tm 0.0000 0.0000 0.0000
Zr1 Zr 0.0000 0.5000 0.5000
Bi1 Bi 0.5000 0.5000 0.0000
```

DOS at the Fermi energy: 4.9 states/eV/cell
calculated volume: 98.3 Å³/cell
magnetization: 0.00 Bohr magnetons per cell

=====

Relative to the most stable structure, the computed energies are 1) 252; 2) 0, all in meV per atom.